Entry 1:
## In2TePH (PBE)

Data for In2TePH after structural relaxation.

## Properties
- Energy: -3.42 eV per atom
- Space-group type: P4/mmm

Cell and atoms, written as extended XYZ:
```
5
Lattice="-3.920 -0.260 -3.634 2.481 -4.101 -2.382 -1.892 -2.431 2.215" Properties=species:S:1:pos:R:3 pbc="T T T"
P 0.000 0.000 0.000
In 1.240 -2.050 -1.191
H -0.946 -1.215 1.107
Te -1.666 -3.396 -1.901
In -1.960 -0.130 -1.817
```

Entry 2:
## Ac3Pm5Nd3 (PBE)

Data for Ac3Pm5Nd3 after structural relaxation.

## Properties
- Energy: -3.93 eV per atom
- ΔE_f: 647 meV/atom
- Space-group type: P-62m

Cell and atoms, written as extended XYZ:
```
11
Lattice="6.111 0.000 0.000 0.000 8.448 -4.878 0.000 0.000 9.755" Properties=species:S:1:pos:R:3 pbc="T T T"
Nd 3.055 6.207 -3.584
Pm 3.055 3.101 -1.790
Nd 3.055 2.241 1.294
Ac 0.000 4.872 -2.813
Nd 3.055 0.000 7.168
Pm 3.055 0.000 3.580
Pm 3.055 5.348 3.088
Ac 0.000 3.577 2.065
Pm 3.055 2.816 4.878
Pm 3.055 5.632 0.000
Ac 0.000 0.000 5.626
```

Entry 3:
## MgZrCdHg (PBE)

Data for MgZrCdHg after structural relaxation.

## Properties
- Energy: -3.00 eV per atom
- ΔE_f: -158 meV/atom
- Space-group type: Pmmm

Cell and atoms, written as extended XYZ:
```
4
Lattice="4.001 0.000 0.000 0.000 4.636 0.000 0.000 0.000 4.621" Properties=species:S:1:pos:R:3 pbc="T T T"
Hg 2.000 0.000 2.311
Zr 0.000 2.318 2.311
Cd 2.000 2.318 0.000
Mg 0.000 0.000 0.000
```

Entry 4:
## Ca3Mg2Al (PBE)

Data for Ca3Mg2Al after structural relaxation.

## Properties
- Energy: -2.28 eV per atom
- ΔE_f: -125 meV/atom
- Space-group type: P4/mmm

Cell and atoms, written as extended XYZ:
```
6
Lattice="3.802 0.000 0.000 0.000 3.802 0.000 0.000 0.000 12.087" Properties=species:S:1:pos:R:3 pbc="T T T"
Al 1.901 1.901 6.043
Mg 1.901 1.901 9.967
Ca 0.000 0.000 7.847
Mg 1.901 1.901 2.120
Ca 0.000 0.000 0.000
Ca 0.000 0.000 4.240
```

Entry 5:
## Mn2PbSe2 (PBE)

Data for Mn2PbSe2 after structural relaxation.

## Properties
- Excess energy over the best structure of this formula in the dataset: 0 meV per atom
- Energy: -5.91 eV per atom
- Formation energy (no corrections): -110 meV per atom
- Space-group type: I4/mmm

Cell and atoms, written as extended XYZ:
```
5
Lattice="-0.852 -3.958 -0.200 2.776 -0.742 2.859 -3.691 -1.587 6.045" Properties=species:S:1:pos:R:3 pbc="T T T"
Se -0.277 -2.147 2.585
Pb 0.000 0.000 0.000
Mn 0.024 -2.339 5.117
Se -1.490 -4.140 6.119
Mn -1.790 -3.947 3.587
```

Entry 6:
## TiSi3Ge (PBE)

Data for TiSi3Ge after structural relaxation.

## Properties
- Excess energy over the best structure of this formula in the dataset: 0 meV per atom
- Energy: -5.04 eV per atom
- Formation energy (no corrections): 712 meV per atom
- Space-group type: Pm-3m

Cell and atoms, written as extended XYZ:
```
5
Lattice="-2.569 -3.816 -1.262 3.804 -2.792 0.700 -1.298 -0.630 4.547" Properties=species:S:1:pos:R:3 pbc="T T T"
Ge -0.031 -3.619 1.992
Si -0.649 -0.315 2.274
Ti 0.000 0.000 0.000
Si -1.284 -1.908 -0.631
Si 1.902 -1.396 0.350
```

Entry 7:
## GdPaPt (PBE)

Data for GdPaPt after structural relaxation.

## Properties
- Excess energy over the best structure of this formula in the dataset: 0 meV per atom
- Energy: -10.45 eV per atom
- ΔE_f: -578 meV/atom
- Space-group type: I4mm

Cell and atoms, written as extended XYZ:
```
3
Lattice="3.652 0.000 0.000 0.000 3.652 0.000 -1.826 -1.826 5.507" Properties=species:S:1:pos:R:3 pbc="T T T"
Gd 1.826 1.826 4.885
Pt 0.000 0.000 2.874
Pa 1.826 1.826 1.603
```

Entry 8:
## TlGaSb2 (PBE)

Data for TlGaSb2 after structural relaxation.

## Properties
- Excess energy over the best structure of this formula in the dataset: 202 meV per atom
- Energy: -3.22 eV per atom
- Formation energy (no corrections): 192 meV per atom
- Space-group type: Fm-3m

Cell and atoms, written as extended XYZ:
```
4
Lattice="-3.741 -3.795 -0.148 -3.323 -0.629 4.121 -5.137 1.339 -0.490" Properties=species:S:1:pos:R:3 pbc="T T T"
Tl -6.101 -1.542 1.742
Ga 0.000 0.000 0.000
Sb -3.050 -0.771 0.871
Sb -9.151 -2.313 2.613
```